# 1
# LaZn2Sb2 (GGA-PBE, relaxed)
# uncorrected formation energy: -0.2057 eV per atom
data_LaZn2Sb2
_chemical_formula_sum 'La2 Zn4 Sb4'
_symmetry_space_group_name_H-M 'P 4/m b m'
_symmetry_Int_Tables_number 127
_symmetry_space_group_name_Hall '-P 4 2ab'
_cell_length_a 8.2395
_cell_length_b 8.2395
_cell_length_c 3.6747
_cell_angle_alpha 90.00
_cell_angle_beta 90.00
_cell_angle_gamma 90.00
loop_
_atom_site_label
_atom_site_type_symbol
_atom_site_fract_x
_atom_site_fract_y
_atom_site_fract_z
La1 La 0.0000 0.0000 0.0000
Zn1 Zn 0.1531 0.3469 0.5000
Sb1 Sb 0.1410 0.6410 0.0000



# 2
# LaZn2Sb (GGA-PBE, relaxed)
# uncorrected formation energy: -0.3657 eV per atom
data_LaZn2Sb
_chemical_formula_sum 'La2 Zn4 Sb2'
_symmetry_space_group_name_H-M 'I 4/m m m'
_symmetry_Int_Tables_number 139
_symmetry_space_group_name_Hall '-I 4 2'
_cell_length_a 4.6141
_cell_length_b 4.6141
_cell_length_c 8.9755
_cell_angle_alpha 90.00
_cell_angle_beta 90.00
_cell_angle_gamma 90.00
loop_
_atom_site_label
_atom_site_type_symbol
_atom_site_fract_x
_atom_site_fract_y
_atom_site_fract_z
La1 La 0.0000 0.0000 0.0000
Zn1 Zn 0.0000 0.5000 0.2500
Sb1 Sb 0.0000 0.0000 0.5000



# 3
# LaZn2Sb (GGA-PBE, relaxed)
# uncorrected formation energy: -0.3053 eV per atom
data_LaZn2Sb
_chemical_formula_sum 'La1 Zn2 Sb1'
_symmetry_space_group_name_H-M 'P m m 2'
_symmetry_Int_Tables_number 25
_cell_length_a 3.3301
_cell_length_b 4.0894
_cell_length_c 6.9853
_cell_angle_alpha 90.00
_cell_angle_beta 90.00
_cell_angle_gamma 90.00
loop_
_symmetry_equiv_pos_as_xyz
'x,y,z'
'-x,-y,z'
'-x,y,z'
'x,-y,z'
loop_
_atom_site_label
_atom_site_type_symbol
_atom_site_fract_x
_atom_site_fract_y
_atom_site_fract_z
La1 La 0.0000 0.0000 0.0000
Zn1 Zn 0.0000 0.0000 0.5413
Zn2 Zn 0.5000 0.5000 0.6992
Sb1 Sb 0.5000 0.5000 0.2915



# 4
# La2ZnSb (GGA-PBE, relaxed)
# uncorrected formation energy: -0.6604 eV per atom
# polymorph energy (0 for the lowest one): 0.28 eV/f.u.
data_La2ZnSb
_chemical_formula_sum 'La4 Zn2 Sb2'
_symmetry_space_group_name_H-M 'I 4/m m m'
_symmetry_Int_Tables_number 139
_symmetry_space_group_name_Hall '-I 4 2'
_cell_length_a 5.1180
_cell_length_b 5.1180
_cell_length_c 8.7003
_cell_angle_alpha 90.00
_cell_angle_beta 90.00
_cell_angle_gamma 90.00
loop_
_atom_site_label
_atom_site_type_symbol
_atom_site_fract_x
_atom_site_fract_y
_atom_site_fract_z
La1 La 0.0000 0.5000 0.2500
Zn1 Zn 0.0000 0.0000 0.0000
Sb1 Sb 0.0000 0.0000 0.5000



# 5
# LaZrSb2 (GGA-PBE, relaxed)
# uncorrected formation energy: -0.8793 eV per atom
# polymorph energy (0 for the lowest one): 0.19 eV/f.u.
data_LaZrSb2
_chemical_formula_sum 'La2 Zr2 Sb4'
_symmetry_space_group_name_H-M 'P 4/n m m'
_symmetry_Int_Tables_number 129
_cell_length_a 4.3922
_cell_length_b 4.3922
_cell_length_c 11.6789
_cell_angle_alpha 90.00
_cell_angle_beta 90.00
_cell_angle_gamma 90.00
loop_
_symmetry_equiv_pos_as_xyz
'x,y,z'
'-x,-y,-z'
'-y+1/2,x,z'
'y+1/2,-x,-z'
'-x+1/2,-y+1/2,z'
'x+1/2,y+1/2,-z'
'y,-x+1/2,z'
'-y,x+1/2,-z'
'x+1/2,-y,-z'
'-x+1/2,y,z'
'-y,-x,-z'
'y,x,z'
'-x,y+1/2,-z'
'x,-y+1/2,z'
'y+1/2,x+1/2,-z'
'-y+1/2,-x+1/2,z'
loop_
_atom_site_label
_atom_site_type_symbol
_atom_site_fract_x
_atom_site_fract_y
_atom_site_fract_z
La1 La 0.2500 0.2500 0.2186
Zr1 Zr 0.2500 0.7500 0.5000
Sb1 Sb 0.2500 0.2500 0.6781
Sb2 Sb 0.2500 0.7500 0.0000



# 6
# LaZr2Sb (GGA-PBE, relaxed)
# uncorrected formation energy: -0.0768 eV per atom
data_LaZr2Sb
_chemical_formula_sum 'La2 Zr4 Sb2'
_symmetry_space_group_name_H-M 'C m m m'
_symmetry_Int_Tables_number 65
_symmetry_space_group_name_Hall '-C 2 2'
_cell_length_a 4.0862
_cell_length_b 5.3897
_cell_length_c 9.5282
_cell_angle_alpha 90.00
_cell_angle_beta 90.00
_cell_angle_gamma 90.00
loop_
_atom_site_label
_atom_site_type_symbol
_atom_site_fract_x
_atom_site_fract_y
_atom_site_fract_z
La1 La 0.0000 0.0000 0.0000
Zr1 Zr 0.0000 0.5000 0.2848
Sb1 Sb 0.0000 0.0000 0.5000



The evaluated calculated volume for the records listed, in turn: 24.947, 23.886, 23.781, 28.487, 28.163, 26.231 A^3/atom.
The evaluated DOS(E_F) for the records listed, in turn: 2.89, 2.06, 2.25, 3.70, 2.52, 5.98 states/eV/f.u..